This record from the Alexandria database describes an optimized crystal structure of Y2Er7Tc2. The functional is PBE.

Cell and atoms, written as POSCAR:
```
Y2Er7Tc2
1.0
-3.495 0.514 -0.270
-3.385 -10.152 1.246
-3.226 -5.012 8.975
Er Y Tc
7 2 2
Direct
0.114 0.161 0.610 Er
0.886 0.390 0.839 Er
0.137 0.745 0.982 Er
0.500 0.042 0.958 Er
0.419 0.677 0.486 Er
0.581 0.514 0.323 Er
0.863 0.018 0.255 Er
0.755 0.826 0.663 Y
0.245 0.337 0.174 Y
0.500 0.344 0.656 Tc
0.000 0.800 0.200 Tc
```

Space-group type   Imm2, No. 44
Total DFT energy (no corrections)   -5.89 eV per atom
Energy of formation   0.8 eV per formula unit
M_tot   0.0 Bohr magnetons per cell

This record from the Alexandria database describes an optimized crystal structure of Tm5Zr12Ga3. The functional is PBE.

Cell and atoms, written as POSCAR:
```
Tm5Zr12Ga3
1.0
14.591 0.000 0.000
-4.864 13.756 0.000
-4.864 -6.878 11.913
Tm Zr Ga
20 48 12
Direct
0.750 0.125 0.875 Tm
0.000 0.500 0.500 Tm
0.875 0.625 0.750 Tm
0.500 0.000 0.000 Tm
0.250 0.375 0.625 Tm
0.500 0.000 0.500 Tm
0.250 0.875 0.125 Tm
0.125 0.750 0.375 Tm
0.500 0.500 0.500 Tm
0.000 0.000 0.500 Tm
0.375 0.125 0.750 Tm
0.000 0.500 0.000 Tm
0.625 0.750 0.875 Tm
0.375 0.250 0.125 Tm
0.125 0.375 0.250 Tm
0.875 0.250 0.625 Tm
0.000 0.000 0.000 Tm
0.625 0.875 0.250 Tm
0.500 0.500 0.000 Tm
0.750 0.625 0.375 Tm
0.151 0.081 0.733 Zr
0.930 0.849 0.582 Zr
0.919 0.070 0.652 Zr
0.652 0.570 0.919 Zr
0.349 0.767 0.419 Zr
0.082 0.430 0.849 Zr
0.848 0.267 0.418 Zr
0.733 0.581 0.151 Zr
0.581 0.733 0.651 Zr
0.267 0.419 0.849 Zr
0.233 0.582 0.652 Zr
0.430 0.082 0.349 Zr
0.848 0.581 0.930 Zr
0.581 0.848 0.430 Zr
0.349 0.582 0.430 Zr
0.570 0.918 0.651 Zr
0.918 0.570 0.151 Zr
0.070 0.151 0.418 Zr
0.919 0.849 0.767 Zr
0.930 0.081 0.848 Zr
0.418 0.651 0.070 Zr
0.070 0.919 0.152 Zr
0.151 0.070 0.918 Zr
0.430 0.348 0.581 Zr
0.570 0.652 0.419 Zr
0.582 0.349 0.930 Zr
0.348 0.918 0.767 Zr
0.267 0.848 0.918 Zr
0.418 0.767 0.848 Zr
0.767 0.349 0.919 Zr
0.849 0.919 0.267 Zr
0.152 0.419 0.070 Zr
0.082 0.652 0.733 Zr
0.651 0.418 0.570 Zr
0.419 0.267 0.349 Zr
0.582 0.233 0.152 Zr
0.233 0.651 0.081 Zr
0.348 0.430 0.081 Zr
0.081 0.930 0.348 Zr
0.419 0.152 0.570 Zr
0.152 0.733 0.582 Zr
0.651 0.233 0.581 Zr
0.767 0.418 0.348 Zr
0.081 0.151 0.233 Zr
0.733 0.152 0.082 Zr
0.652 0.082 0.233 Zr
0.918 0.348 0.267 Zr
0.849 0.930 0.082 Zr
0.625 0.375 0.750 Ga
0.875 0.750 0.125 Ga
0.750 0.375 0.125 Ga
0.125 0.250 0.875 Ga
0.375 0.750 0.625 Ga
0.750 0.875 0.625 Ga
0.375 0.625 0.250 Ga
0.875 0.125 0.250 Ga
0.625 0.250 0.375 Ga
0.250 0.625 0.875 Ga
0.125 0.875 0.750 Ga
0.250 0.125 0.375 Ga
```

Space-group type   Ia-3d, No. 230
Total DFT energy (no corrections)   -5.76 eV per atom
Energy of formation   18.8 eV per formula unit
M_tot   0.0 Bohr magnetons per cell

This record from the Alexandria database describes an optimized crystal structure of LiThMg2. The functional is PBE.

Cell and atoms, written as POSCAR:
```
LiThMg2
1.0
-2.297 2.135 -1.351
0.427 -1.472 -3.052
-6.071 -5.417 1.762
Li Th Mg
1 1 2
Direct
0.500 0.500 0.000 Li
0.500 0.500 0.500 Th
0.000 0.000 0.794 Mg
0.000 0.000 0.206 Mg
```

Space-group type   P4/mmm, No. 123
Total DFT energy (no corrections)   -3.12 eV per atom
Energy of formation   0.0 eV per formula unit
M_tot   0.0 Bohr magnetons per cell